Record 1
CdBMo2 | PBE | relaxed

Structure (POSCAR):
```
CdBMo2
1.0
6.136 0.000 0.000
0.000 6.136 0.000
0.000 0.000 6.136
Cd B Mo
4 4 8
Cartesian
0.000 0.000 0.000
0.000 3.068 3.068
3.068 0.000 3.068
3.068 3.068 0.000
0.000 0.000 3.068
0.000 3.068 0.000
3.068 0.000 0.000
3.068 3.068 3.068
1.534 1.534 1.534
1.534 1.534 4.602
1.534 4.602 1.534
1.534 4.602 4.602
4.602 1.534 1.534
4.602 1.534 4.602
4.602 4.602 1.534
4.602 4.602 4.602
```

Symmetry ... Fm-3m, No. 225
Energy above the lowest structure with this stoichiometry ... 0.0 kJ/mol of formula units
D(E_F) ... 0.922 states/eV/atom
M_tot ... 0.000 μB per atom
Calculated formation energy ... 95.9 kJ per mole of atoms
Total energy ... -6.3202 eV per atom

---

Record 2
CdB2Mo | PBE | relaxed

Structure (POSCAR):
```
CdB2Mo
1.0
5.953 0.000 0.000
0.000 5.953 0.000
0.000 0.000 6.179
Cd B Mo
4 8 4
Cartesian
0.000 0.000 0.000
0.000 2.977 1.545
2.977 0.000 4.634
2.977 2.977 3.089
1.323 1.488 3.862
1.488 4.300 5.406
1.488 4.630 2.317
1.653 1.488 0.772
4.300 4.465 0.772
4.465 1.323 2.317
4.465 1.653 5.406
4.630 4.465 3.862
0.000 0.000 3.089
0.000 2.977 4.634
2.977 0.000 1.545
2.977 2.977 0.000
```

Symmetry ... I-42d, No. 122
D(E_F) ... 0.398 states/eV/atom
M_tot ... 0.000 μB per atom
Calculated formation energy ... 93.6 kJ per mole of atoms
Total energy ... -5.3052 eV per atom